The following is a DFT calculation (GGA-PBE) of a relaxed Fe2SiSn2 crystal.

As for the magnetic moment: 0.000 μB/cell. The value obtained for the energy relative to the elements, uncorrected is 19.4 kJ/mol of atoms. The density of states at the Fermi level comes out at 7.0 states/eV/cell. The value obtained for the total energy is -58.69 eV for the cell shown.

abc: 6.2514 6.2514 4.0152
angles: 90.00 90.00 90.00
Last column: nearest neighbours and their distance in Å.
Sites, in units of the cell vectors:
Si 0.5000 0.5000 0.0000  4 Fe 2.37
Si 0.0000 0.0000 0.0000  4 Fe 2.37
Fe 0.1531 0.3469 0.0000  2 Si 2.37, 2 Sn 2.59
Fe 0.6531 0.1531 0.0000  2 Si 2.37, 2 Sn 2.59
Fe 0.3469 0.8469 0.0000  2 Si 2.37, 2 Sn 2.59
Fe 0.8469 0.6531 0.0000  2 Si 2.37, 2 Sn 2.59
Sn 0.1623 0.6623 0.5000  6 Fe 2.59-2.81, 1 Sn 2.87
Sn 0.6623 0.8377 0.5000  6 Fe 2.59-2.81, 1 Sn 2.87
Sn 0.8377 0.3377 0.5000  6 Fe 2.59-2.81, 1 Sn 2.87
Sn 0.3377 0.1623 0.5000  6 Fe 2.59-2.81, 1 Sn 2.87

=====

The following is a DFT calculation (GGA-PBE) of a relaxed BaHgIr2 crystal.

As for the magnetic moment: 0.000 μB/cell. The density of states at the Fermi level comes out at 2.0 states/eV/cell. For the calculated formation energy, the calculation gives 1.48 eV per formula unit. The value obtained for the total energy is -18.46 eV for the cell shown.

abc: 6.1433 6.1433 5.8752
angles: 62.59 62.59 29.43
Last column: nearest neighbours and their distance in Å.
Sites, in units of the cell vectors:
Ba 0.4787 0.4787 0.4920  2 Ba 3.12, 7 Ir 3.19-3.42, 2 Hg 3.49
Ir 0.7005 0.7005 0.9045  2 Ir 2.56, 2 Hg 2.80
Ir 0.0223 0.0223 0.9379  2 Ir 2.56, 2 Hg 2.81
Hg 0.2985 0.2985 0.1656  4 Ir 2.80-2.81, 2 Hg 3.12

=====

The following is a DFT calculation (GGA-PBE) of a relaxed Rb3Nb5Se12 crystal.

As for the magnetic moment: 16.250 μB/cell. The value obtained for the energy relative to the elements, uncorrected is -69.7 kJ/mol of atoms. The density of states at the Fermi level comes out at 36.7 states/eV/cell. The value obtained for the total energy is -438.05 eV for the cell shown.

abc: 14.7210 14.7210 14.7210
angles: 109.47 109.47 109.47
Last column: nearest neighbours and their distance in Å.
Sites, in units of the cell vectors:
Rb 0.7500 0.8750 0.6250  8 Se 3.44-3.55
Rb 0.2500 0.1250 0.3750  8 Se 3.44-3.55
Rb 0.3750 0.6250 0.2500  8 Se 3.44-3.55
Rb 0.1250 0.2500 0.8750  8 Se 3.44-3.55
Rb 0.2500 0.6250 0.8750  8 Se 3.44-3.55
Rb 0.8750 0.1250 0.2500  8 Se 3.44-3.55
Rb 0.6250 0.2500 0.3750  8 Se 3.44-3.55
Rb 0.3750 0.7500 0.6250  8 Se 3.44-3.55
Rb 0.8750 0.7500 0.1250  8 Se 3.44-3.55
Rb 0.6250 0.3750 0.7500  8 Se 3.44-3.55
Rb 0.1250 0.8750 0.7500  8 Se 3.44-3.55
Rb 0.7500 0.3750 0.1250  8 Se 3.44-3.55
Se 0.0864 0.9022 0.3970  2 Nb 2.44-2.65
Se 0.0978 0.9136 0.1030  2 Nb 2.44-2.65
Se 0.9136 0.8158 0.8106  2 Nb 2.44-2.65
Se 0.1842 0.0864 0.6894  2 Nb 2.44-2.65
Se 0.4022 0.0052 0.3158  2 Nb 2.44-2.65
Se 0.0052 0.4022 0.8158  2 Nb 2.44-2.65
Se 0.5864 0.8970 0.4022  2 Nb 2.44-2.65
Se 0.1842 0.0978 0.9948  2 Nb 2.44-2.65
Se 0.4136 0.3106 0.3158  2 Nb 2.44-2.65
Se 0.4022 0.3970 0.5864  2 Nb 2.44-2.65
Se 0.1030 0.6894 0.5052  2 Nb 2.44-2.65
Se 0.6030 0.5978 0.9136  2 Nb 2.44-2.65
Se 0.5864 0.6894 0.6842  2 Nb 2.44-2.65
Se 0.5052 0.1894 0.1030  2 Nb 2.44-2.65
Se 0.8106 0.4948 0.3970  2 Nb 2.44-2.65
Se 0.8158 0.9022 0.0052  2 Nb 2.44-2.65
Se 0.0864 0.1842 0.1894  2 Nb 2.44-2.65
Se 0.0978 0.1842 0.4948  2 Nb 2.44-2.65
Se 0.1894 0.5052 0.6030  2 Nb 2.44-2.65
Se 0.3970 0.9948 0.8106  2 Nb 2.44-2.65
Se 0.1030 0.4136 0.0978  2 Nb 2.44-2.65
Se 0.5052 0.3158 0.9022  2 Nb 2.44-2.65
Se 0.6842 0.1894 0.5864  2 Nb 2.44-2.65
Se 0.3158 0.5052 0.4022  2 Nb 2.44-2.65
Se 0.8970 0.3106 0.4948  2 Nb 2.44-2.65
Se 0.8158 0.9136 0.3106  2 Nb 2.44-2.65
Se 0.8106 0.3158 0.9136  2 Nb 2.44-2.65
Se 0.8970 0.5864 0.9022  2 Nb 2.44-2.65
Se 0.3106 0.4136 0.8158  2 Nb 2.44-2.65
Se 0.1894 0.6842 0.0864  2 Nb 2.44-2.65
Se 0.3970 0.4022 0.0864  2 Nb 2.44-2.65
Se 0.5978 0.6030 0.4136  2 Nb 2.44-2.65
Se 0.6894 0.1030 0.0052  2 Nb 2.44-2.65
Se 0.4948 0.8106 0.8970  2 Nb 2.44-2.65
Se 0.9022 0.0864 0.8970  2 Nb 2.44-2.65
Se 0.0052 0.6030 0.6894  2 Nb 2.44-2.65
Se 0.6894 0.5864 0.1842  2 Nb 2.44-2.65
Se 0.4948 0.6842 0.0978  2 Nb 2.44-2.65
Se 0.9948 0.5978 0.1842  2 Nb 2.44-2.65
Se 0.3106 0.8970 0.9948  2 Nb 2.44-2.65
Se 0.3158 0.8106 0.4136  2 Nb 2.44-2.65
Se 0.9136 0.0978 0.6030  2 Nb 2.44-2.65
Se 0.9022 0.8158 0.5052  2 Nb 2.44-2.65
Se 0.9948 0.3970 0.3106  2 Nb 2.44-2.65
Se 0.5978 0.9948 0.6842  2 Nb 2.44-2.65
Se 0.4136 0.1030 0.5978  2 Nb 2.44-2.65
Se 0.6030 0.0052 0.1894  2 Nb 2.44-2.65
Se 0.6842 0.4948 0.5978  2 Nb 2.44-2.65
Nb 0.1250 0.7500 0.3750  4 Se 2.44
Nb 0.7500 0.6250 0.3750  4 Se 2.44
Nb 0.3750 0.2500 0.1250  4 Se 2.44
Nb 0.2500 0.8750 0.1250  4 Se 2.44
Nb 0.1250 0.3750 0.2500  4 Se 2.44
Nb 0.0000 0.0000 0.5000  6 Se 2.65
Nb 0.3750 0.1250 0.7500  4 Se 2.44
Nb 0.5000 0.5000 0.5000  6 Se 2.65
Nb 0.0000 0.0000 0.0000  6 Se 2.65
Nb 0.5000 0.5000 0.0000  6 Se 2.65
Nb 0.8750 0.6250 0.7500  4 Se 2.44
Nb 0.5000 0.0000 0.0000  6 Se 2.65
Nb 0.0000 0.5000 0.0000  6 Se 2.65
Nb 0.2500 0.3750 0.6250  4 Se 2.44
Nb 0.8750 0.2500 0.6250  4 Se 2.44
Nb 0.5000 0.0000 0.5000  6 Se 2.65
Nb 0.6250 0.7500 0.8750  4 Se 2.44
Nb 0.7500 0.1250 0.8750  4 Se 2.44
Nb 0.0000 0.5000 0.5000  6 Se 2.65
Nb 0.6250 0.8750 0.2500  4 Se 2.44

=====

The following is a DFT calculation (GGA-PBE) of a relaxed CePrCd2 crystal.

As for the magnetic moment: 2.668 μB/cell. The density of states at the Fermi level comes out at 19.1 states/eV/cell. For the calculated formation energy, the calculation gives -0.86 eV per formula unit. The value obtained for the total energy is -26.81 eV for the cell shown.

abc: 3.5019 7.7354 8.2992
angles: 90.00 90.00 90.00
Last column: nearest neighbours and their distance in Å.
Sites, in units of the cell vectors:
Cd 0.5000 0.0417 0.7509  3 Cd 3.22-3.50, 4 Ce 3.32-3.39, 4 Pr 3.34-3.39
Cd 0.5000 0.4583 0.7509  3 Cd 3.22-3.50, 4 Ce 3.32-3.39, 4 Pr 3.34-3.39
Cd 0.5000 0.5417 0.2491  3 Cd 3.22-3.50, 4 Ce 3.32-3.39, 4 Pr 3.34-3.39
Cd 0.5000 0.9583 0.2491  3 Cd 3.22-3.50, 4 Ce 3.32-3.39, 4 Pr 3.34-3.39
Ce 0.0000 0.2500 0.0291  8 Cd 3.32-3.39, 2 Ce 3.50, 1 Pr 3.65
Ce 0.0000 0.7500 0.9709  8 Cd 3.32-3.39, 2 Ce 3.50, 1 Pr 3.65
Pr 0.0000 0.2500 0.4688  8 Cd 3.34-3.39, 2 Pr 3.50, 1 Ce 3.65
Pr 0.0000 0.7500 0.5312  8 Cd 3.34-3.39, 2 Pr 3.50, 1 Ce 3.65

=====

The following is a DFT calculation (GGA-PBE) of a relaxed Ce2ErGe3Rh4 crystal.

As for the magnetic moment: 1.361 μB/cell. The density of states at the Fermi level comes out at 9.6 states/eV/cell. For the calculated formation energy, the calculation gives -8.68 eV per formula unit. The value obtained for the total energy is -68.37 eV for the cell shown.

abc: 4.1497 4.1497 11.2549
angles: 90.00 90.00 90.00
Last column: nearest neighbours and their distance in Å.
Sites, in units of the cell vectors:
Er 0.5000 0.5000 0.5000  4 Rh 2.75, 4 Ge 2.93
Ge 0.0000 0.0000 0.5000  4 Rh 2.75, 4 Er 2.93
Ge 0.0000 0.5000 0.1215  5 Rh 2.46-2.49
Ge 0.5000 0.0000 0.8785  5 Rh 2.46-2.49
Rh 0.5000 0.5000 0.0000  4 Ge 2.49
Rh 0.0000 0.0000 0.0000  4 Ge 2.49
Rh 0.5000 0.0000 0.6602  3 Ge 2.46-2.75, 2 Er 2.75
Rh 0.0000 0.5000 0.3398  3 Ge 2.46-2.75, 2 Er 2.75
Ce 0.0000 0.5000 0.7674  8 Rh 3.17-3.34, 4 Ge 3.19
Ce 0.5000 0.0000 0.2326  8 Rh 3.17-3.34, 4 Ge 3.19